[1]
18
Lattice="6.519 -6.615 0.000 6.519 6.615 0.000 -2.025 0.000 6.653" Properties=species:S:1:pos:R:3 comment="InHg2Cl6 | the Alexandria database | PBE-GGA | relaxed" energy_ev_per_atom=-2.26 e_form_raw_mev_per_atom=-661.5 pbc="T T T"
In 5.000 5.592 4.990
In 6.012 -5.592 1.663
Hg 2.924 1.276 5.779
Hg 3.936 -1.276 2.453
Hg 7.076 1.276 4.200
Hg 8.088 -1.276 0.874
Cl 0.270 0.827 4.225
Cl 3.050 3.644 5.631
Cl 1.282 -0.827 0.898
Cl 4.043 1.061 2.887
Cl 6.949 3.644 4.349
Cl 3.030 -1.061 6.214
Cl 7.982 1.061 0.439
Cl 4.063 -3.644 2.304
Cl 6.969 -1.061 3.766
Cl 9.729 0.827 5.755
Cl 7.962 -3.644 1.023
Cl 10.742 -0.827 2.428

***

[2]
6
Lattice="11.019 0.000 0.000 0.000 3.074 3.074 0.000 -3.074 3.074" Properties=species:S:1:pos:R:3 comment="InHgCl | the Alexandria database | PBE-GGA | relaxed" energy_ev_per_atom=-2.16 e_form_raw_mev_per_atom=-528.8 pbc="T T T"
In 1.731 -1.537 3.074
In 9.288 1.537 3.074
Hg 4.995 -1.537 3.119
Hg 6.024 1.537 3.119
Cl 1.228 1.537 3.085
Cl 9.791 -1.537 3.085

***

[3]
3
Lattice="4.553 0.000 0.000 -2.276 3.943 0.000 0.000 0.000 5.750" Properties=species:S:1:pos:R:3 comment="InHgCl | the Alexandria database | PBE-GGA | relaxed" energy_ev_per_atom=-2.13 e_form_raw_mev_per_atom=-496.8 pbc="T T T"
In 0.000 0.000 0.000
Hg 0.000 2.629 3.820
Cl 2.276 1.314 1.370

***

[4]
4
Lattice="0.000 3.684 3.684 3.684 0.000 3.684 3.684 3.684 0.000" Properties=species:S:1:pos:R:3 comment="InHgCl2 | the Alexandria database | PBE-GGA | relaxed" energy_ev_per_atom=-1.96 e_form_raw_mev_per_atom=-275.5 pbc="T T T"
In 0.000 0.000 0.000
Hg 1.842 1.842 1.842
Cl 3.684 3.684 3.684
Cl 5.526 5.526 5.526

***

[5]
4
Lattice="2.389 -2.664 0.000 2.389 2.664 0.000 0.000 0.000 9.635" Properties=species:S:1:pos:R:3 comment="InHgCl2 | the Alexandria database | PBE-GGA | relaxed" energy_ev_per_atom=-2.16 e_form_raw_mev_per_atom=-481.5 pbc="T T T"
In 0.000 0.000 0.000
Hg 0.000 0.000 4.818
Cl 2.389 0.000 1.587
Cl 2.389 0.000 8.049

***

[6]
11
Lattice="8.555 0.000 0.000 -4.278 7.409 0.000 0.000 0.000 5.058" Properties=species:S:1:pos:R:3 comment="In3Hg7Cl | the Alexandria database | PBE-GGA | relaxed" energy_ev_per_atom=-1.20 e_form_raw_mev_per_atom=-98.2 pbc="T T T"
In 0.000 2.612 0.000
In -2.015 6.103 0.000
In 2.015 6.103 0.000
Hg 0.000 4.939 2.277
Hg 2.264 1.307 1.554
Hg 4.278 0.559 3.725
Hg 2.623 3.425 3.725
Hg 6.292 1.307 1.554
Hg 4.278 4.795 1.554
Hg 5.932 3.425 3.725
Cl 0.000 0.000 3.783

***

[7]
5
Lattice="5.749 0.000 0.000 0.000 5.749 0.000 0.000 0.000 5.749" Properties=species:S:1:pos:R:3 comment="In3HgCl | the Alexandria database | PBE-GGA | relaxed" energy_ev_per_atom=-1.99 e_form_raw_mev_per_atom=83.6 pbc="T T T"
In 0.000 0.000 2.874
In 0.000 2.874 0.000
In 2.874 0.000 0.000
Hg 2.874 2.874 2.874
Cl 0.000 0.000 0.000

***

[8]
3
Lattice="0.000 3.692 3.692 3.692 0.000 3.692 3.692 3.692 0.000" Properties=species:S:1:pos:R:3 comment="InHgCl | the Alexandria database | PBE-GGA | relaxed" energy_ev_per_atom=-2.10 e_form_raw_mev_per_atom=-472.6 pbc="T T T"
In 0.000 0.000 0.000
Hg 1.846 1.846 1.846
Cl 5.538 5.538 5.538